[1]
VASP calculation (PBE) on an optimized crystal structure of ReMoP2S.

a b c (Å): 4.4968 4.4968 5.0245
angles (deg): 90.00 90.00 90.00
With the nearest neighbours (Å) after each atom.
Space group P4/mmm (No. 123)
Asymmetric unit:
Re: 0.0000 0.0000 0.0000  4 P 2.25, 2 S 2.51
Mo: 0.5000 0.5000 0.5000  4 S 3.18, 8 P 3.37
P: 0.0000 0.5000 0.0000  2 Re 2.25
S: 0.0000 0.0000 0.5000  2 Re 2.51

Results
As for the formation energy without anion corrections: 1.0412 eV per atom. The polymorph energy (0 for the lowest one) comes out at 0 meV/atom.

[2]
VASP calculation (PBE) on an optimized crystal structure of Re2MoPSe.

a b c (Å): 4.5430 4.5430 4.6226
angles (deg): 90.00 90.00 90.00
With the nearest neighbours (Å) after each atom.
Space group P4/mmm (No. 123)
Asymmetric unit:
Re: 0.0000 0.5000 0.0000  2 Se 2.27
Mo: 0.0000 0.0000 0.5000  4 P 3.21, 8 Re 3.24
P: 0.5000 0.5000 0.5000  2 Se 2.31
Se: 0.5000 0.5000 0.0000  4 Re 2.27, 2 P 2.31

Results
As for the formation energy without anion corrections: 2.0196 eV per atom.

[3]
VASP calculation (PBE) on an optimized crystal structure of Mo2PRh.

a b c (Å): 3.6520 3.6520 4.3580
angles (deg): 90.00 90.00 90.00
With the nearest neighbours (Å) after each atom.
Space group P4/mmm (No. 123)
Asymmetric unit:
Mo: 0.0000 0.5000 0.0000  4 Mo 2.58, 4 Rh 2.84, 4 P 2.84
P: 0.0000 0.0000 0.5000  4 Rh 2.58, 8 Mo 2.84
Rh: 0.5000 0.5000 0.5000  4 P 2.58, 8 Mo 2.84

Results
The energy relative to the elements comes out at 24 meV/atom.

[4]
VASP calculation (PBE) on an optimized crystal structure of MoP2Rh.

a b c (Å): 8.1246 2.9016 5.2470
angles (deg): 90.00 111.69 90.00
With the nearest neighbours (Å) after each atom.
Space group C2/m (No. 12)
Asymmetric unit:
Mo: 0.0000 0.0000 0.0000  6 P 2.50-2.51
P: 0.2335 0.0000 0.7932  2 Rh 2.43, 3 Mo 2.50-2.51, 2 P 2.54
Rh: 0.0000 0.5000 0.5000  4 P 2.43

Results
The energy relative to the elements comes out at -243 meV/atom.

no.,density of states at the Fermi level (states/eV/cell),magnetization (μB per formula unit),DFT total energy (eV per atom)
1,4.0,3.69,-6.604
2,5.0,1.81,-6.905
3,3.6,0.00,-8.582
4,5.1,0.00,-7.493